Entry 1:
Computed, not measured: AcY2TaN4 after structural relaxation at the PBE level of DFT.

a b c (Å): 3.493 6.412 12.136
angles (deg): 90.00 90.00 105.81
Fractional positions:
N  0.000  0.000  0.000
Ta  0.830  0.660  0.750
N  0.575  0.150  0.250
Ac  0.090  0.181  0.750
N  0.425  0.850  0.750
N  0.000  0.000  0.500
N  0.260  0.520  0.381
N  0.740  0.480  0.619
Y  0.629  0.257  0.464
Y  0.371  0.743  0.964
Ta  0.170  0.340  0.250
N  0.260  0.520  0.119
N  0.740  0.480  0.881
Y  0.629  0.257  0.036
Ac  0.910  0.819  0.250
Y  0.371  0.743  0.536

Energy relative to the elements, uncorrected (eV per atom): -1.2655


Entry 2:
Computed, not measured: TaW after structural relaxation at the PBE level of DFT.

a b c (Å): 4.216 4.216 5.212
angles (deg): 90.00 90.00 120.00
Fractional positions:
Ta  0.333  0.667  0.250
W  0.000  0.000  0.000
Ta  0.667  0.333  0.750
W  0.000  0.000  0.500

Formation energy from the elements (kcal/mol of atoms): 21.0


Entry 3:
Computed, not measured: Pm3HAu after structural relaxation at the PBE level of DFT.

a b c (Å): 4.882 4.882 4.882
angles (deg): 90.00 90.00 90.00
Fractional positions:
Pm  0.000  0.500  0.000
Pm  0.000  0.000  0.500
Au  0.500  0.500  0.500
Pm  0.500  0.000  0.000
H  0.000  0.000  0.000

Offset from the most stable computed form (meV/atom): 132


| no. | E (eV/atom) |
| --- | --- |
| 1 | -9.039 |
| 2 | -11.490 |
| 3 | -4.490 |